AcTbSi3: relaxed, PBE.

Calculated values
Raw total energy in eV per atom: -5.65
Total magnetization in μB per cell: 0.0
DOS at the Fermi energy in states/eV/f.u.: 1.85
E_form (uncorrected) in eV/f.u.: -3.2

Geometry as CIF:
```
data_AcTbSi3
_chemical_formula_sum 'Ac4 Tb4 Si12'
_cell_length_a 4.526
_cell_length_b 25.002
_cell_length_c 4.024
_cell_angle_alpha 90.00
_cell_angle_beta 90.00
_cell_angle_gamma 90.00
_space_group_name_H-M_alt 'C m c m'
_space_group_IT_number 63
_space_group_name_Hall '-C 2c 2'
loop_
_atom_site_label
_atom_site_type_symbol
_atom_site_fract_x
_atom_site_fract_y
_atom_site_fract_z
Ac1 Ac 0.000 0.072 0.250
Tb1 Tb 0.000 0.203 0.750
Si1 Si 0.000 0.320 0.750
Si2 Si 0.000 0.377 0.250
Si3 Si 0.000 0.474 0.250
```

Ac2TbSi2: relaxed, PBE.

Calculated values
Raw total energy in eV per atom: -5.28
Total magnetization in μB per cell: 0.0
DOS at the Fermi energy in states/eV/f.u.: 4.73
E_form (uncorrected) in eV/f.u.: -2.7

Geometry as CIF:
```
data_Ac2TbSi2
_chemical_formula_sum 'Ac4 Tb2 Si4'
_cell_length_a 4.466
_cell_length_b 6.461
_cell_length_c 10.237
_cell_angle_alpha 90.00
_cell_angle_beta 90.00
_cell_angle_gamma 90.00
_space_group_name_H-M_alt 'I m m m'
_space_group_IT_number 71
_space_group_name_Hall '-I 2 2'
loop_
_atom_site_label
_atom_site_type_symbol
_atom_site_fract_x
_atom_site_fract_y
_atom_site_fract_z
Ac1 Ac 0.000 0.000 0.205
Tb1 Tb 0.000 0.500 0.000
Si1 Si 0.000 0.306 0.500
```

AcTbZnSi: relaxed, PBE.

Calculated values
Raw total energy in eV per atom: -4.20
Total magnetization in μB per cell: 0.0
DOS at the Fermi energy in states/eV/f.u.: 2.33
E_form (uncorrected) in eV/f.u.: -1.4

Geometry as CIF:
```
data_AcTbZnSi
_chemical_formula_sum 'Ac4 Tb4 Zn4 Si4'
_cell_length_a 7.421
_cell_length_b 7.421
_cell_length_c 7.421
_cell_angle_alpha 90.00
_cell_angle_beta 90.00
_cell_angle_gamma 90.00
_space_group_name_H-M_alt 'F -4 3 m'
_space_group_IT_number 216
_space_group_name_Hall 'F -4 2 3'
loop_
_atom_site_label
_atom_site_type_symbol
_atom_site_fract_x
_atom_site_fract_y
_atom_site_fract_z
Ac1 Ac 0.000 0.000 0.000
Tb1 Tb 0.000 0.000 0.500
Zn1 Zn 0.250 0.250 0.250
Si1 Si 0.250 0.250 0.750
```

Ac5Si5Tc2: relaxed, PBE.

Calculated values
Raw total energy in eV per atom: -6.07
Total magnetization in μB per cell: 0.0
DOS at the Fermi energy in states/eV/f.u.: 8.06
E_form (uncorrected) in eV/f.u.: -4.5

Geometry as CIF:
```
data_Ac5Si5Tc2
_chemical_formula_sum 'Ac10 Si10 Tc4'
_cell_length_a 13.181
_cell_length_b 4.492
_cell_length_c 10.733
_cell_angle_alpha 90.00
_cell_angle_beta 95.91
_cell_angle_gamma 90.00
_space_group_name_H-M_alt 'C 1 2/m 1'
_space_group_IT_number 12
_space_group_name_Hall '-C 2y'
loop_
_atom_site_label
_atom_site_type_symbol
_atom_site_fract_x
_atom_site_fract_y
_atom_site_fract_z
Ac1 Ac 0.000 0.000 0.000
Ac2 Ac 0.149 0.000 0.598
Ac3 Ac 0.216 0.500 0.111
Si1 Si 0.000 0.500 0.500
Si2 Si 0.098 0.500 0.823
Si3 Si 0.130 0.000 0.290
Tc1 Tc 0.064 0.500 0.310
```

AcSi2Tc3: relaxed, PBE.

Calculated values
Raw total energy in eV per atom: -8.09
Total magnetization in μB per cell: 0.0
DOS at the Fermi energy in states/eV/f.u.: 4.67
E_form (uncorrected) in eV/f.u.: -2.5

Geometry as CIF:
```
data_AcSi2Tc3
_chemical_formula_sum 'Ac4 Si8 Tc12'
_cell_length_a 15.720
_cell_length_b 4.156
_cell_length_c 7.734
_cell_angle_alpha 90.00
_cell_angle_beta 116.14
_cell_angle_gamma 90.00
_space_group_name_H-M_alt 'C 1 2/m 1'
_space_group_IT_number 12
_space_group_name_Hall '-C 2y'
loop_
_atom_site_label
_atom_site_type_symbol
_atom_site_fract_x
_atom_site_fract_y
_atom_site_fract_z
Ac1 Ac 0.144 0.000 0.058
Si1 Si 0.024 0.500 0.198
Si2 Si 0.190 0.000 0.688
Tc1 Tc 0.045 0.000 0.396
Tc2 Tc 0.084 0.500 0.640
Tc3 Tc 0.199 0.500 0.470
```

AcSi2Tc2: relaxed, PBE.

Calculated values
Raw total energy in eV per atom: -7.67
Total magnetization in μB per cell: 0.0
DOS at the Fermi energy in states/eV/f.u.: 5.58
E_form (uncorrected) in eV/f.u.: -2.7

Geometry as CIF:
```
data_AcSi2Tc2
_chemical_formula_sum 'Ac2 Si4 Tc4'
_cell_length_a 4.295
_cell_length_b 4.295
_cell_length_c 10.551
_cell_angle_alpha 90.00
_cell_angle_beta 90.00
_cell_angle_gamma 90.00
_space_group_name_H-M_alt 'I 4/m m m'
_space_group_IT_number 139
_space_group_name_Hall '-I 4 2'
loop_
_atom_site_label
_atom_site_type_symbol
_atom_site_fract_x
_atom_site_fract_y
_atom_site_fract_z
Ac1 Ac 0.000 0.000 0.000
Si1 Si 0.000 0.000 0.361
Tc1 Tc 0.000 0.500 0.250
```

Copy entry 2 word for word.
Ac2TbSi2: relaxed, PBE.

Calculated values
Raw total energy in eV per atom: -5.28
Total magnetization in μB per cell: 0.0
DOS at the Fermi energy in states/eV/f.u.: 4.73
E_form (uncorrected) in eV/f.u.: -2.7

Geometry as CIF:
```
data_Ac2TbSi2
_chemical_formula_sum 'Ac4 Tb2 Si4'
_cell_length_a 4.466
_cell_length_b 6.461
_cell_length_c 10.237
_cell_angle_alpha 90.00
_cell_angle_beta 90.00
_cell_angle_gamma 90.00
_space_group_name_H-M_alt 'I m m m'
_space_group_IT_number 71
_space_group_name_Hall '-I 2 2'
loop_
_atom_site_label
_atom_site_type_symbol
_atom_site_fract_x
_atom_site_fract_y
_atom_site_fract_z
Ac1 Ac 0.000 0.000 0.205
Tb1 Tb 0.000 0.500 0.000
Si1 Si 0.000 0.306 0.500
```

Question: Among the records above, which one has the lowest raw total energy?
Answer: AcSi2Tc3

Question: Which of these has the highest DOS at the Fermi energy?
Answer: Ac5Si5Tc2